A plane-wave DFT calculation with meta-GGA SCAN was carried out for a PBEsol-optimized structure of MnZnTc2.

abc: 3.069 4.138 8.354
angles: 90.00 90.00 90.00
Space group Cmmm (No. 65)
Asymmetric unit:
Mn 0.000 0.000 0.000 [2 per cell]
Zn 0.000 0.000 0.500 [2 per cell]
Tc 0.000 0.500 0.238 [4 per cell]

Total magnetization = 2.2 μB per formula unit
Electronic total energy = -25.445 eV/atom
ΔE_f = 0.028 eV per atom